## A
A geometry-optimized FeAsBr2Cl structure, computed with PBE-GGA.

a = 4.8930 Å, b = 4.8930 Å, c = 4.6019 Å
α = 90.00°, β = 90.00°, γ = 90.00°
Last column: nearest neighbours and their distance in Å.
Space group P4/mmm (No. 123)
Inequivalent atoms, fractional coordinates:
Fe: 0.0000 0.0000 0.0000 (multiplicity 1)  2 As 2.30, 4 Br 2.45
As: 0.0000 0.0000 0.5000 (multiplicity 1)  2 Fe 2.30
Br: 0.0000 0.5000 0.0000 (multiplicity 2)  2 Fe 2.45
Cl: 0.5000 0.5000 0.5000 (multiplicity 1)  8 Br 3.36, 4 As 3.46

Output
Fermi-level density of states in states/eV/cell: 7.130
V in Å³/f.u.: 110.2

***

## B
A geometry-optimized FeAsBr2Cl structure, computed with PBE-GGA.

a = 5.1125 Å, b = 5.1125 Å, c = 5.2819 Å
α = 90.00°, β = 90.00°, γ = 90.00°
Last column: nearest neighbours and their distance in Å.
Space group P4/mmm (No. 123)
Inequivalent atoms, fractional coordinates:
Fe: 0.0000 0.0000 0.0000 (multiplicity 1)  4 As 3.62, 8 Br 3.68
As: 0.5000 0.5000 0.0000 (multiplicity 1)  2 Cl 2.64
Br: 0.0000 0.5000 0.5000 (multiplicity 2)  2 Cl 2.56
Cl: 0.5000 0.5000 0.5000 (multiplicity 1)  4 Br 2.56, 2 As 2.64

Output
Fermi-level density of states in states/eV/cell: 4.381
V in Å³/f.u.: 138.1

***

Computed relative energies in units of kJ/mol of atoms: A 0.0; B 81.5

***

## A
A geometry-optimized GaAs2BrCl structure, computed with PBE-GGA.

a = 4.7645 Å, b = 4.7645 Å, c = 7.1160 Å
α = 90.00°, β = 90.00°, γ = 90.00°
Last column: nearest neighbours and their distance in Å.
Space group P4/mmm (No. 123)
Inequivalent atoms, fractional coordinates:
Ga: 0.0000 0.0000 0.0000 (multiplicity 1)  4 Br 3.37
As: 0.0000 0.5000 0.5000 (multiplicity 2)  2 Cl 2.38
Br: 0.5000 0.5000 0.0000 (multiplicity 1)  4 Ga 3.37, 2 Cl 3.56
Cl: 0.5000 0.5000 0.5000 (multiplicity 1)  4 As 2.38

Output
Fermi-level density of states in states/eV/cell: 3.348
V in Å³/f.u.: 161.5

***

## B
A geometry-optimized GaAs2BrCl structure, computed with PBE-GGA.

a = 4.9302 Å, b = 4.9302 Å, c = 6.4447 Å
α = 90.00°, β = 90.00°, γ = 90.00°
Last column: nearest neighbours and their distance in Å.
Space group P4/mmm (No. 123)
Inequivalent atoms, fractional coordinates:
Ga: 0.0000 0.0000 0.0000 (multiplicity 1)  2 Cl 3.22, 4 Br 3.49
As: 0.0000 0.5000 0.5000 (multiplicity 2)  2 Cl 2.47
Br: 0.5000 0.5000 0.0000 (multiplicity 1)  4 Ga 3.49
Cl: 0.0000 0.0000 0.5000 (multiplicity 1)  4 As 2.47

Output
Fermi-level density of states in states/eV/cell: 4.882
V in Å³/f.u.: 156.6

***

## C
A geometry-optimized GaAs2BrCl structure, computed with PBE-GGA.

a = 5.0643 Å, b = 5.0643 Å, c = 5.0916 Å
α = 90.00°, β = 90.00°, γ = 90.00°
Last column: nearest neighbours and their distance in Å.
Space group P4/mmm (No. 123)
Inequivalent atoms, fractional coordinates:
Ga: 0.0000 0.0000 0.0000 (multiplicity 1)  4 As 2.53, 2 Br 2.55
As: 0.0000 0.5000 0.0000 (multiplicity 2)  2 Ga 2.53
Br: 0.0000 0.0000 0.5000 (multiplicity 1)  2 Ga 2.55
Cl: 0.5000 0.5000 0.5000 (multiplicity 1)  4 Br 3.58, 8 As 3.59

Output
Fermi-level density of states in states/eV/cell: 3.220
V in Å³/f.u.: 130.6

***

Computed relative energies in units of kJ/mol of atoms: A 17.0; B 19.5; C 0.0

***

## A
A geometry-optimized AsHBr2Cl structure, computed with PBE-GGA.

a = 4.3327 Å, b = 4.3327 Å, c = 5.1846 Å
α = 90.00°, β = 90.00°, γ = 90.00°
Last column: nearest neighbours and their distance in Å.
Space group P4/mmm (No. 123)
Inequivalent atoms, fractional coordinates:
As: 0.0000 0.0000 0.0000 (multiplicity 1)  2 H 2.59
H: 0.0000 0.0000 0.5000 (multiplicity 1)  4 Br 2.17
Br: 0.0000 0.5000 0.5000 (multiplicity 2)  2 H 2.17
Cl: 0.5000 0.5000 0.0000 (multiplicity 1)  4 As 3.06, 8 Br 3.38

Output
Fermi-level density of states in states/eV/cell: 2.658
V in Å³/f.u.: 97.3

***

## B
A geometry-optimized AsHBr2Cl structure, computed with PBE-GGA.

a = 5.4851 Å, b = 5.4851 Å, c = 5.1854 Å
α = 90.00°, β = 90.00°, γ = 90.00°
Last column: nearest neighbours and their distance in Å.
Space group P4/mmm (No. 123)
Inequivalent atoms, fractional coordinates:
As: 0.0000 0.0000 0.0000 (multiplicity 1)  2 Cl 2.59
H: 0.5000 0.5000 0.0000 (multiplicity 1)  8 Br 3.77, 4 As 3.88
Br: 0.0000 0.5000 0.5000 (multiplicity 2)  2 Cl 2.74
Cl: 0.0000 0.0000 0.5000 (multiplicity 1)  2 As 2.59, 4 Br 2.74

Output
Fermi-level density of states in states/eV/cell: 1.474
V in Å³/f.u.: 156.0

***

Computed relative energies in units of kJ/mol of atoms: A 0.0; B 32.5

***

## A
A geometry-optimized As2HBrCl structure, computed with PBE-GGA.

a = 4.4041 Å, b = 4.4041 Å, c = 4.6676 Å
α = 90.00°, β = 90.00°, γ = 90.00°
Last column: nearest neighbours and their distance in Å.
Space group P4/mmm (No. 123)
Inequivalent atoms, fractional coordinates:
As: 0.0000 0.5000 0.0000 (multiplicity 2)  2 H 2.20
H: 0.0000 0.0000 0.0000 (multiplicity 1)  4 As 2.20, 2 Br 2.33
Br: 0.0000 0.0000 0.5000 (multiplicity 1)  2 H 2.33
Cl: 0.5000 0.5000 0.5000 (multiplicity 1)  4 Br 3.11, 8 As 3.21

Output
Fermi-level density of states in states/eV/cell: 3.635
V in Å³/f.u.: 90.5

***

## B
A geometry-optimized As2HBrCl structure, computed with PBE-GGA.

a = 4.9954 Å, b = 4.9954 Å, c = 6.3861 Å
α = 90.00°, β = 90.00°, γ = 90.00°
Last column: nearest neighbours and their distance in Å.
Space group P4/mmm (No. 123)
Inequivalent atoms, fractional coordinates:
As: 0.0000 0.5000 0.0000 (multiplicity 2)  2 Cl 2.50
H: 0.0000 0.0000 0.5000 (multiplicity 1)  4 Br 3.53
Br: 0.5000 0.5000 0.5000 (multiplicity 1)  2 Cl 3.19, 4 H 3.53
Cl: 0.5000 0.5000 0.0000 (multiplicity 1)  4 As 2.50

Output
Fermi-level density of states in states/eV/cell: 7.703
V in Å³/f.u.: 159.4

***

Computed relative energies in units of kJ/mol of atoms: A 0.0; B 57.3